Tl2FeBiF6: optimized geometry, PBE+U.

a b c (Å): 5.8682 8.9074 7.0105
angles (deg): 90.00 90.00 90.00
Fractional coordinates of all 20 atoms:
Tl  0.2500  0.0155  0.2429
Tl  0.2500  0.4845  0.2429
Tl  0.7500  0.5155  0.7571
Tl  0.7500  0.9845  0.7571
Fe  0.2500  0.7500  0.7547
Fe  0.7500  0.2500  0.2453
Bi  0.2500  0.2500  0.7448
Bi  0.7500  0.7500  0.2552
F  0.0099  0.2500  0.0393
F  0.0100  0.2500  0.4495
F  0.2500  0.5092  0.7598
F  0.2500  0.9908  0.7598
F  0.4901  0.2500  0.0393
F  0.4900  0.2500  0.4495
F  0.5100  0.7500  0.5505
F  0.5099  0.7500  0.9607
F  0.7500  0.0092  0.2402
F  0.7500  0.4908  0.2402
F  0.9900  0.7500  0.5505
F  0.9901  0.7500  0.9607

Its size of the total moment is 4.963 μB per formula unit. The calculation puts the uncorrected energy at -4.52 eV/atom.